(1)
Entry from Alexandria: crystalline Be2CoGe at its relaxed geometry (PBE-GGA).

Results
ΔH_f (0 K) = 433 meV per atom
Size of the total moment = 0.0 μB per cell
Total energy = -4.3606 eV per atom

Cell lengths 6.4628, 6.4628, 4.5616 Å; angles 90.00, 90.00, 90.00 degrees
With the nearest neighbours (Å) after each atom.
Space group I-42d (No. 122)
One atom of each set of equivalent atoms:
Be  0.2103  0.2500  0.1250 (multiplicity 8)  2 Co 2.19, 2 Be 2.34
Co  0.0000  0.0000  0.0000 (multiplicity 4)  4 Be 2.19, 2 Ge 2.28
Ge  0.0000  0.0000  0.5000 (multiplicity 4)  2 Co 2.28, 4 Be 2.54

(2)
Entry from Alexandria: crystalline BeCo2Ge at its relaxed geometry (PBE-GGA).

Results
ΔH_f (0 K) = -259 meV per atom
Size of the total moment = 0.0 μB per cell
Total energy = -5.8977 eV per atom

Cell lengths 3.8127, 3.8127, 2.8759 Å; angles 90.00, 90.00, 90.00 degrees
With the nearest neighbours (Å) after each atom.
Space group P4/mmm (No. 123)
One atom of each set of equivalent atoms:
Be  0.0000  0.0000  0.0000 (multiplicity 1)  8 Co 2.39
Co  0.0000  0.5000  0.5000 (multiplicity 2)  4 Ge 2.39, 4 Be 2.39
Ge  0.5000  0.5000  0.0000 (multiplicity 1)  8 Co 2.39

(3)
Entry from Alexandria: crystalline HoBeCoGe2 at its relaxed geometry (PBE-GGA).

Results
ΔH_f (0 K) = -492 meV per atom
Size of the total moment = 0.5 μB per cell
Total energy = -5.4213 eV per atom

Cell lengths 3.8954, 3.8954, 10.2503 Å; angles 90.00, 90.00, 90.00 degrees
With the nearest neighbours (Å) after each atom.
Space group I-4m2 (No. 119)
One atom of each set of equivalent atoms:
Ho  0.0000  0.0000  0.0000 (multiplicity 2)  8 Ge 3.04, 4 Co 3.22, 4 Be 3.22
Be  0.0000  0.5000  0.7500 (multiplicity 2)  4 Ge 2.33
Co  0.0000  0.5000  0.2500 (multiplicity 2)  4 Ge 2.33
Ge  0.0000  0.0000  0.3755 (multiplicity 4)  2 Co 2.33, 2 Be 2.33, 1 Ge 2.55

(4)
Entry from Alexandria: crystalline Ho2BeCo6Ge at its relaxed geometry (PBE-GGA).

Results
ΔH_f (0 K) = 38 meV per atom
Size of the total moment = 7.9 μB per cell
Total energy = -5.9753 eV per atom

Cell lengths 8.3424, 8.3424, 8.3424 Å; angles 90.00, 90.00, 90.00 degrees
With the nearest neighbours (Å) after each atom.
Space group Fm-3m (No. 225)
One atom of each set of equivalent atoms:
Ho  0.2500  0.2500  0.2500 (multiplicity 8)  12 Co 2.95
Be  0.0000  0.0000  0.0000 (multiplicity 4)  6 Co 1.96
Co  0.0000  0.0000  0.2345 (multiplicity 24)  1 Be 1.96
Ge  0.0000  0.0000  0.5000 (multiplicity 4)  6 Co 2.21